LaNiC2O6, optimized geometry, DFT GGA+U; final energy = -7.2588 eV/atom; space group = R-3 (148)
1.0
2.460 1.421 5.577
-2.460 1.421 5.577
0.000 -2.841 5.577
La Ni C O
1 1 2 6
Cartesian
0.000 0.000 0.000
0.000 0.000 8.366
0.000 0.000 4.052
0.000 0.000 12.679
-1.632 -0.401 7.058
-0.469 -1.614 9.674
-1.164 1.213 9.674
1.164 -1.213 7.058
0.469 1.614 7.058
1.632 0.401 9.674